# 1
Computed, not measured: a relaxed Hf2MnMo crystal at the PBE level of DFT.

Unit cell a=5.8255 b=5.8255 c=5.8255 alpha=103.92 beta=103.92 gamma=121.27
Sites, in units of the cell vectors:
Hf: 0.1085 0.6250 0.9835
Hf: 0.3750 0.3585 0.4835
Hf: 0.6415 0.1250 0.0165
Hf: 0.8750 0.8915 0.5165
Mn: 0.0000 0.0000 0.0000
Mn: 0.7500 0.2500 0.5000
Mo: 0.2500 0.7500 0.5000
Mo: 0.5000 0.5000 0.0000

- SG: No. 122
- Total DFT energy (no corrections): -75.27 eV per cell
- E above lowest polymorph: 2.455 eV/f.u.

=====

# 2
Computed, not measured: a relaxed Hf3Mn8Mo crystal at the PBE level of DFT.

Unit cell a=8.4687 b=8.4687 c=8.4687 alpha=33.54 beta=33.54 gamma=33.54
Sites, in units of the cell vectors:
Hf: 0.0000 0.0000 0.0000
Hf: 0.1264 0.1264 0.1264
Hf: 0.5032 0.5032 0.5032
Mn: 0.0621 0.5629 0.5629
Mn: 0.0648 0.0648 0.5667
Mn: 0.0648 0.5667 0.0648
Mn: 0.3138 0.3138 0.3138
Mn: 0.5629 0.0621 0.5629
Mn: 0.5629 0.5629 0.0621
Mn: 0.5667 0.0648 0.0648
Mn: 0.8142 0.8142 0.8142
Mo: 0.6266 0.6266 0.6266

- SG: No. 160
- Total DFT energy (no corrections): -116.22 eV per cell

=====

# 3
Computed, not measured: a relaxed HfMnMo3 crystal at the PBE level of DFT.

Unit cell a=4.4962 b=4.4962 c=4.4962 alpha=90.00 beta=90.00 gamma=90.00
Sites, in units of the cell vectors:
Hf: 0.0000 0.0000 0.0000
Mn: 0.5000 0.5000 0.5000
Mo: 0.0000 0.5000 0.5000
Mo: 0.5000 0.0000 0.5000
Mo: 0.5000 0.5000 0.0000

- SG: No. 221
- Total DFT energy (no corrections): -47.72 eV per cell
- E above lowest polymorph: 0.000 eV/f.u.

=====

# 4
Computed, not measured: a relaxed HfMnMo3 crystal at the PBE level of DFT.

Unit cell a=4.7047 b=4.7047 c=4.7047 alpha=90.00 beta=90.00 gamma=90.00
Sites, in units of the cell vectors:
Hf: 0.0000 0.0000 0.0000
Mn: 0.5000 0.5000 0.5000
Mo: 0.0000 0.0000 0.5000
Mo: 0.0000 0.5000 0.0000
Mo: 0.5000 0.0000 0.0000

- SG: No. 221
- Total DFT energy (no corrections): -39.29 eV per cell
- E above lowest polymorph: 8.438 eV/f.u.

=====

# 5
Computed, not measured: a relaxed Hf2MnMo crystal at the PBE level of DFT.

Unit cell a=4.5932 b=4.5932 c=4.5932 alpha=60.00 beta=60.00 gamma=60.00
Sites, in units of the cell vectors:
Hf: 0.2500 0.2500 0.2500
Hf: 0.7500 0.7500 0.7500
Mn: 0.0000 0.0000 0.0000
Mo: 0.5000 0.5000 0.5000

- SG: No. 225
- Total DFT energy (no corrections): -39.97 eV per cell
- E above lowest polymorph: 0.122 eV/f.u.

=====

# 6
Computed, not measured: a relaxed Hf2Mn2Mo crystal at the PBE level of DFT.

Unit cell a=6.1745 b=6.1745 c=4.3513 alpha=90.00 beta=90.00 gamma=90.00
Sites, in units of the cell vectors:
Hf: 0.1805 0.3195 0.0000
Hf: 0.3195 0.8195 0.0000
Hf: 0.6805 0.1805 0.0000
Hf: 0.8195 0.6805 0.0000
Mn: 0.1222 0.6222 0.5000
Mn: 0.3778 0.1222 0.5000
Mn: 0.6222 0.8778 0.5000
Mn: 0.8778 0.3778 0.5000
Mo: 0.0000 0.0000 0.5000
Mo: 0.5000 0.5000 0.5000

- SG: No. 127
- Total DFT energy (no corrections): -98.56 eV per cell

=====

# 7
Computed, not measured: a relaxed HfMnMoOs2 crystal at the PBE level of DFT.

Unit cell a=4.7294 b=4.7294 c=4.7030 alpha=90.00 beta=90.00 gamma=90.00
Sites, in units of the cell vectors:
Hf: 0.0000 0.0000 0.0000
Mn: 0.5000 0.5000 0.5000
Mo: 0.0000 0.0000 0.5000
Os: 0.0000 0.5000 0.0000
Os: 0.5000 0.0000 0.0000

- SG: No. 123
- Total DFT energy (no corrections): -39.42 eV per cell

=====

# 8
Computed, not measured: a relaxed HfPaMnMo crystal at the PBE level of DFT.

Unit cell a=4.6967 b=4.6967 c=4.6967 alpha=60.00 beta=60.00 gamma=60.00
Sites, in units of the cell vectors:
Hf: 0.0000 0.0000 0.0000
Pa: 0.5000 0.5000 0.5000
Mn: 0.2500 0.2500 0.2500
Mo: 0.7500 0.7500 0.7500

- SG: No. 216
- Total DFT energy (no corrections): -39.47 eV per cell

=====

For reference, formation enthalpy at 0 K by record: 0.569; -0.181; 0.778; 2.466; -0.015; -0.041; 2.598; -0.005 eV/atom.